Crystalline YMnOF2 at its relaxed geometry, computed with PBE+U.

Unit cell a=4.140 b=4.140 c=4.153 alpha=90.00 beta=90.00 gamma=90.00
Positions (direct):
1 Y 0.000 0.000 0.000
2 Mn 0.500 0.500 0.500
3 O 0.500 0.500 0.000
4 F 0.000 0.500 0.500
5 F 0.500 0.000 0.500

Summary:
The distance to the lowest polymorph of the same formula comes out at 313 meV/atom. The mass density is 4.6 g cm⁻³. The density of states at the Fermi level comes out at 2.000 states/eV/f.u.